No. 1
Compound: BaSbAs3
Source: Alexandria via LeMat-Bulk
Functional: PBE
Structure: relaxed

Values from the calculation:
formation energy (no corrections)	2.0	kJ per mole of atoms
ΔE to the lowest computed polymorph	0	kJ/mol of formula units
electronic total energy	-0.146	hartree per atom
M_tot	0.00	μB/f.u.

a b c (Å): 5.371 5.371 5.371
angles (deg): 90.00 90.00 90.00
Fractional positions:
As 0.500 0.000 0.000
As 0.000 0.500 0.000
As 0.000 0.000 0.500
Ba 0.500 0.500 0.500
Sb 0.000 0.000 0.000


No. 2
Compound: BaSbAs2
Source: Alexandria via LeMat-Bulk
Functional: PBE
Structure: relaxed

Values from the calculation:
formation energy (no corrections)	-27.1	kJ per mole of atoms
electronic total energy	-0.151	hartree per atom
M_tot	0.00	μB/f.u.

a b c (Å): 5.997 5.997 5.997
angles (deg): 140.75 120.72 73.43
Fractional positions:
Ba 0.250 0.750 0.500
Sb 0.750 0.250 0.500
As 0.958 0.958 0.000
As 0.542 0.542 0.000


No. 3
Compound: BaSbAs
Source: Alexandria via LeMat-Bulk
Functional: PBE
Structure: relaxed

Values from the calculation:
formation energy (no corrections)	-75.1	kJ per mole of atoms
ΔE to the lowest computed polymorph	0	kJ/mol of formula units
electronic total energy	-0.160	hartree per atom
M_tot	0.00	μB/f.u.

a b c (Å): 4.611 4.432 10.080
angles (deg): 90.00 101.64 90.00
Fractional positions:
Sb 0.706 0.250 0.993
Sb 0.294 0.750 0.007
Ba 0.910 0.750 0.298
Ba 0.090 0.250 0.702
As 0.526 0.750 0.563
As 0.474 0.250 0.437


No. 4
Compound: BaSb2As
Source: Alexandria via LeMat-Bulk
Functional: PBE
Structure: relaxed

Values from the calculation:
formation energy (no corrections)	-38.8	kJ per mole of atoms
electronic total energy	-0.151	hartree per atom
M_tot	0.00	μB/f.u.

a b c (Å): 6.372 6.372 6.372
angles (deg): 143.92 127.84 65.05
Fractional positions:
Sb 0.960 0.960 0.000
Sb 0.540 0.540 0.000
Ba 0.250 0.750 0.500
As 0.750 0.250 0.500


No. 5
Compound: BaSbAs2
Source: Alexandria via LeMat-Bulk
Functional: PBE
Structure: relaxed

Values from the calculation:
formation energy (no corrections)	-46.3	kJ per mole of atoms
electronic total energy	-0.159	hartree per atom
M_tot	0.00	μB/f.u.

a b c (Å): 5.867 5.867 5.711
angles (deg): 70.77 70.77 39.48
Fractional positions:
As 0.001 0.001 0.998
As 0.703 0.703 0.879
Ba 0.504 0.504 0.497
Sb 0.292 0.292 0.126


No. 6
Compound: BaSbAs2
Source: Alexandria via LeMat-Bulk
Functional: PBE
Structure: relaxed

Values from the calculation:
formation energy (no corrections)	-46.3	kJ per mole of atoms
electronic total energy	-0.159	hartree per atom
M_tot	0.00	μB/f.u.

a b c (Å): 4.602 4.993 5.739
angles (deg): 83.83 90.00 90.00
Fractional positions:
Ba 0.500 0.250 0.250
As 0.000 0.664 0.458
As 0.000 0.836 0.042
Sb 0.500 0.750 0.750


No. 7
Compound: BaSbAs
Source: Alexandria via LeMat-Bulk
Functional: PBE
Structure: relaxed

Values from the calculation:
formation energy (no corrections)	-23.6	kJ per mole of atoms
ΔE to the lowest computed polymorph	155	kJ/mol of formula units
electronic total energy	-0.140	hartree per atom
M_tot	0.00	μB/f.u.

a b c (Å): 5.403 5.403 5.403
angles (deg): 60.00 60.00 60.00
Fractional positions:
Sb 0.750 0.750 0.750
Ba 0.500 0.500 0.500
As 0.000 0.000 0.000


No. 8
Compound: BaSbAs
Source: Alexandria via LeMat-Bulk
Functional: PBE
Structure: relaxed

Values from the calculation:
formation energy (no corrections)	-59.0	kJ per mole of atoms
ΔE to the lowest computed polymorph	48	kJ/mol of formula units
electronic total energy	-0.153	hartree per atom
M_tot	0.00	μB/f.u.

a b c (Å): 7.418 7.418 9.231
angles (deg): 69.69 69.69 80.34
Fractional positions:
Ba 0.743 0.645 0.406
Ba 0.645 0.743 0.906
Ba 0.361 0.172 0.121
Ba 0.172 0.361 0.621
Sb 0.110 0.627 0.968
Sb 0.998 0.975 0.523
Sb 0.975 0.998 0.023
Sb 0.627 0.110 0.468
As 0.434 0.528 0.768
As 0.528 0.434 0.268
As 0.202 0.719 0.196
As 0.719 0.202 0.696


No. 9
Compound: BaSbAs
Source: Alexandria via LeMat-Bulk
Functional: PBE
Structure: relaxed

Values from the calculation:
formation energy (no corrections)	-70.5	kJ per mole of atoms
ΔE to the lowest computed polymorph	14	kJ/mol of formula units
electronic total energy	-0.158	hartree per atom
M_tot	0.00	μB/f.u.

a b c (Å): 5.016 4.661 17.931
angles (deg): 90.00 106.15 90.00
Fractional positions:
As 0.223 0.500 0.473
As 0.777 0.500 0.527
As 0.777 0.000 0.027
As 0.223 0.000 0.973
Sb 0.063 0.500 0.312
Sb 0.937 0.500 0.688
Sb 0.063 0.000 0.812
Sb 0.937 0.000 0.188
Ba 0.368 0.000 0.619
Ba 0.632 0.500 0.881
Ba 0.632 0.000 0.381
Ba 0.368 0.500 0.119


No. 10
Compound: BaSb2As
Source: Alexandria via LeMat-Bulk
Functional: PBE
Structure: relaxed

Values from the calculation:
formation energy (no corrections)	-46.7	kJ per mole of atoms
electronic total energy	-0.154	hartree per atom
M_tot	0.00	μB/f.u.

a b c (Å): 6.109 6.109 5.766
angles (deg): 69.66 69.66 38.82
Fractional positions:
As 0.750 0.750 0.750
Sb 0.456 0.456 0.611
Sb 0.044 0.044 0.889
Ba 0.250 0.250 0.250


No. 11
Compound: BaSb2As
Source: Alexandria via LeMat-Bulk
Functional: PBE
Structure: relaxed

Values from the calculation:
formation energy (no corrections)	-29.7	kJ per mole of atoms
electronic total energy	-0.147	hartree per atom
M_tot	0.00	μB/f.u.

a b c (Å): 6.571 6.571 6.571
angles (deg): 139.25 139.25 59.00
Fractional positions:
Ba 0.750 0.250 0.500
Sb 0.500 0.500 0.000
Sb 0.000 0.000 0.000
As 0.250 0.750 0.500


No. 12
Compound: Ba5Sb2As
Source: Alexandria via LeMat-Bulk
Functional: PBE
Structure: relaxed

Values from the calculation:
formation energy (no corrections)	-98.1	kJ per mole of atoms
electronic total energy	-0.141	hartree per atom
M_tot	0.99	μB/f.u.

a b c (Å): 9.200 10.416 14.056
angles (deg): 90.00 90.00 90.00
Each line ends with the local moment (μB).
Fractional positions:
Sb 0.058 0.993 0.327  -0.01
Sb 0.942 0.493 0.673  -0.01
Sb 0.558 0.007 0.173  -0.01
Sb 0.442 0.993 0.827  -0.01
Sb 0.058 0.507 0.327  -0.01
Sb 0.442 0.507 0.827  -0.01
Sb 0.558 0.493 0.173  -0.01
Sb 0.942 0.007 0.673  -0.01
As 0.933 0.750 0.990  0.00
As 0.067 0.250 0.010  0.00
As 0.433 0.250 0.510  0.00
As 0.567 0.750 0.490  0.00
Ba 0.317 0.531 0.581  0.07
Ba 0.317 0.969 0.581  0.07
Ba 0.827 0.750 0.213  0.02
Ba 0.673 0.750 0.713  0.02
Ba 0.817 0.469 0.919  0.07
Ba 0.458 0.250 0.000  0.07
Ba 0.683 0.469 0.419  0.07
Ba 0.650 0.250 0.697  0.05
Ba 0.850 0.250 0.197  0.05
Ba 0.327 0.250 0.287  0.02
Ba 0.183 0.531 0.081  0.07
Ba 0.958 0.750 0.500  0.07
Ba 0.817 0.031 0.919  0.07
Ba 0.150 0.750 0.803  0.05
Ba 0.183 0.969 0.081  0.07
Ba 0.542 0.750 0.000  0.07
Ba 0.350 0.750 0.303  0.05
Ba 0.173 0.250 0.787  0.02
Ba 0.683 0.031 0.419  0.07
Ba 0.042 0.250 0.500  0.07